1.
Below is K2NiP at its PBEsol-relaxed geometry, with properties calculated at the meta-GGA SCAN level.

Cell and atoms, written as POSCAR:
```
K2NiP
1.0
4.1106 0.0000 0.0000
0.0000 5.6548 0.0000
-2.0553 -2.8274 4.7465
K P Ni
2 1 1
Cartesian
2.0553 0.0000 2.6875 K
2.0553 2.8274 4.3782 K
0.0000 2.8274 1.2960 P
2.0553 2.8274 1.1315 Ni
```

The value obtained for the formation energy is -309 meV/atom. As for the uncorrected energy: -11.117 eV per atom. The calculation puts the density of states at the Fermi level at 1.6 states/eV/f.u.

2.
Below is K2NiPPb at its PBEsol-relaxed geometry, with properties calculated at the meta-GGA SCAN level.

Cell and atoms, written as POSCAR:
```
K2NiPPb
1.0
-0.2230 -2.8399 3.7604
5.2800 -3.1360 -2.0553
3.7370 4.1116 3.3267
Pb P K Ni
1 1 2 1
Cartesian
0.0000 0.0000 0.0000 Pb
4.3970 -0.9322 2.5159 P
2.6400 -1.5680 -1.0277 K
1.8685 2.0558 1.6633 K
-0.1115 -1.4200 1.8802 Ni
```

The value obtained for the formation energy is 683 meV/atom. As for the uncorrected energy: -23.119 eV per atom. The calculation puts the density of states at the Fermi level at 2.4 states/eV/f.u.